RbCoBrF2: relaxed, GGA+U.

Properties
- Fermi-level density of states: 0.00 states/eV/f.u.
- Volume: 99 Å³/cell
- SG: P4/mmm
- E_tot: -4.058 eV/atom

a = 4.3826 Å, b = 4.3826 Å, c = 5.1430 Å
α = 90.00°, β = 90.00°, γ = 90.00°
Fractional coordinates of all 5 atoms:
1 Rb 0.0000 0.0000 0.0000
2 Co 0.5000 0.5000 0.5000
3 Br 0.5000 0.5000 0.0000
4 F 0.0000 0.5000 0.5000
5 F 0.5000 0.0000 0.5000